Below is a relaxed TiSnMo2I crystal, with properties calculated at the PBE-GGA level.

Spin magnetization (μB per atom): 0.000
ΔE_f (raw) (meV per atom): 1823
ρ (kg/m³): 6283
DFT total energy (eV per atom): -5.200

Cell and atoms, written as POSCAR:
```
TiSnMo2I
1.0
5.0321 0.0000 0.0000
0.0000 5.0659 0.0000
0.0000 0.0000 5.0321
I Mo Sn Ti
1 2 1 1
Direct
0.5000 0.5000 0.5000 I
0.0000 0.0000 0.5000 Mo
0.5000 0.0000 0.0000 Mo
0.0000 0.0000 0.0000 Sn
0.0000 0.5000 0.0000 Ti
```